Density functional theory data (PBE-GGA) for an optimized crystal structure of Er3MgCd12.

abc: 4.567 4.567 17.857
angles: 90.00 90.00 90.00
Space group P4/mmm (No. 123)
One atom of each set of equivalent atoms:
Er 0.000 0.000 0.000 x1
Er 0.000 0.000 0.260 x2
Mg 0.000 0.000 0.500 x1
Cd 0.000 0.500 0.129 x4
Cd 0.000 0.500 0.384 x4
Cd 0.500 0.500 0.000 x1
Cd 0.500 0.500 0.260 x2
Cd 0.500 0.500 0.500 x1

Values from the calculation:
* calculated formation energy: -0.20 eV/atom
* theoretical density: 8.36 g/cm³
* Fermi-level density of states: 8.36 states/eV/f.u.

***

Density functional theory data (PBE-GGA) for an optimized crystal structure of Er5MgCd4.

abc: 3.727 3.727 18.562
angles: 90.00 90.00 90.00
Space group P4/mmm (No. 123)
One atom of each set of equivalent atoms:
Er 0.000 0.000 0.000 x1
Er 0.000 0.000 0.199 x2
Er 0.000 0.000 0.398 x2
Mg 0.500 0.500 0.500 x1
Cd 0.500 0.500 0.100 x2
Cd 0.500 0.500 0.300 x2

Values from the calculation:
* calculated formation energy: -0.27 eV/atom
* theoretical density: 8.44 g/cm³
* Fermi-level density of states: 10.78 states/eV/f.u.

***

Density functional theory data (PBE-GGA) for an optimized crystal structure of ErMg3Cd3.

abc: 7.539 7.539 7.539
angles: 90.00 90.00 90.00
Space group Pm-3n (No. 223)
One atom of each set of equivalent atoms:
Er 0.000 0.000 0.000 x2
Mg 0.000 0.250 0.500 x6
Cd 0.000 0.500 0.250 x6

Values from the calculation:
* energy relative to the lowest polymorph listed for this composition: 639.5 meV/atom
* calculated formation energy: 0.50 eV/atom
* theoretical density: 4.48 g/cm³
* Fermi-level density of states: 4.71 states/eV/f.u.